No. 1
Below is a relaxed Dy2Y3Er8 crystal, with properties calculated at the PBE level.

Cell lengths 4.9850, 7.8803, 10.5924 Å; angles 94.33, 103.55, 90.00 degrees
Space group P-1 (No. 2)
Unique sites:
Dy1 0.2308 0.3457 0.4617 [2 per cell]
Y1 0.0000 0.5000 0.0000 [1 per cell]
Y2 0.4611 0.1927 0.9223 [2 per cell]
Er1 0.0776 0.1145 0.1552 [2 per cell]
Er2 0.1549 0.7307 0.3095 [2 per cell]
Er3 0.3073 0.9614 0.6147 [2 per cell]
Er4 0.3838 0.5784 0.7675 [2 per cell]

Results
Its density of states at the Fermi level is 17.09 states/eV/f.u. The calculation puts the formation energy at 0.024 eV/atom. Its relative energy among the computed polymorphs is 0 meV/atom.

***

No. 2
Below is a relaxed Dy2Y3Er8 crystal, with properties calculated at the PBE level.

Cell lengths 7.5489, 20.2525, 5.5591 Å; angles 90.00, 90.00, 90.00 degrees
Space group Cmmm (No. 65)
Unique sites:
Dy1 0.0000 0.2418 0.0000 [4 per cell]
Y1 0.0000 0.0000 0.0000 [2 per cell]
Y2 0.2159 0.5000 0.5000 [4 per cell]
Er1 0.0000 0.1339 0.5000 [4 per cell]
Er2 0.0000 0.3332 0.5000 [4 per cell]
Er3 0.2127 0.3907 0.0000 [8 per cell]

Results
Its density of states at the Fermi level is 22.82 states/eV/f.u. The calculation puts the formation energy at 0.247 eV/atom. Its relative energy among the computed polymorphs is 223 meV/atom.

***

No. 3
Below is a relaxed DyY8Er2 crystal, with properties calculated at the PBE level.

Cell lengths 9.0359, 16.2639, 5.8837 Å; angles 90.00, 124.24, 90.00 degrees
Space group C2/m (No. 12)
Unique sites:
Dy1 0.0000 0.0000 0.0000 [2 per cell]
Y1 0.0000 0.2053 0.0000 [4 per cell]
Y2 0.0693 0.5000 0.7926 [4 per cell]
Y3 0.2179 0.1197 0.6806 [8 per cell]
Er1 0.0000 0.3087 0.5000 [4 per cell]

Results
Its density of states at the Fermi level is 17.94 states/eV/f.u. The calculation puts the formation energy at 0.162 eV/atom.

***

No. 4
Below is a relaxed Dy6Y4Er crystal, with properties calculated at the PBE level.

Cell lengths 6.5335, 6.5335, 17.1044 Å; angles 90.00, 90.00, 90.00 degrees
Space group I-42m (No. 121)
Unique sites:
Dy1 0.0000 0.5000 0.0000 [4 per cell]
Dy2 0.1787 0.1787 0.1300 [8 per cell]
Y1 0.1867 0.1867 0.3259 [8 per cell]
Er1 0.0000 0.0000 0.5000 [2 per cell]

Results
Its density of states at the Fermi level is 14.57 states/eV/f.u. The calculation puts the formation energy at 0.294 eV/atom. Its relative energy among the computed polymorphs is 0 meV/atom.

***

No. 5
Below is a relaxed Dy5Y8Er crystal, with properties calculated at the PBE level.

Cell lengths 9.5717, 9.5717, 10.0866 Å; angles 90.00, 90.00, 90.00 degrees
Space group I-4 (No. 82)
Unique sites:
Dy1 0.0000 0.0000 0.0000 [2 per cell]
Dy2 0.1093 0.2122 0.5752 [8 per cell]
Y1 0.0712 0.3228 0.9053 [8 per cell]
Y2 0.0853 0.1749 0.2473 [8 per cell]
Er1 0.0000 0.5000 0.2500 [2 per cell]

Results
Its density of states at the Fermi level is 21.41 states/eV/f.u. The calculation puts the formation energy at 0.251 eV/atom.

***

No. 6
Below is a relaxed Dy3Y7Er2 crystal, with properties calculated at the PBE level.

Cell lengths 5.7911, 3.5688, 18.6488 Å; angles 90.00, 93.48, 90.00 degrees
Space group P2/m (No. 10)
Unique sites:
Dy1 0.0000 0.0000 0.0000 [1 per cell]
Dy2 0.2798 0.5000 0.6332 [2 per cell]
Y1 0.1830 0.5000 0.1442 [2 per cell]
Y2 0.2425 0.0000 0.4634 [2 per cell]
Y3 0.3132 0.0000 0.8194 [2 per cell]
Y4 0.5000 0.5000 0.0000 [1 per cell]
Er1 0.2072 0.0000 0.2950 [2 per cell]

Results
Its density of states at the Fermi level is 16.29 states/eV/f.u. The calculation puts the formation energy at 0.092 eV/atom. Its relative energy among the computed polymorphs is 10 meV/atom.

***

No. 7
Below is a relaxed Dy2Y3Er7 crystal, with properties calculated at the PBE level.

Cell lengths 5.6450, 37.3596, 3.5824 Å; angles 90.00, 90.00, 90.00 degrees
Space group Cmmm (No. 65)
Unique sites:
Dy1 0.0000 0.1470 0.0000 [4 per cell]
Y1 0.0000 0.3151 0.5000 [4 per cell]
Y2 0.0000 0.5000 0.5000 [2 per cell]
Er1 0.0000 0.0000 0.0000 [2 per cell]
Er2 0.0000 0.0715 0.5000 [4 per cell]
Er3 0.0000 0.2307 0.0000 [4 per cell]
Er4 0.0000 0.4088 0.0000 [4 per cell]

Results
Its density of states at the Fermi level is 18.54 states/eV/f.u. The calculation puts the formation energy at 0.106 eV/atom. Its relative energy among the computed polymorphs is 0 meV/atom.

***

No. 8
Below is a relaxed Dy11Y9Er4 crystal, with properties calculated at the PBE level.

Cell lengths 16.6752, 25.1726, 3.6501 Å; angles 90.00, 90.00, 90.00 degrees
Space group Cmmm (No. 65)
Unique sites:
Dy1 0.0000 0.0000 0.0000 [2 per cell]
Dy2 0.0000 0.1597 0.0000 [4 per cell]
Dy3 0.0000 0.3678 0.0000 [4 per cell]
Dy4 0.2070 0.5000 0.0000 [4 per cell]
Dy5 0.2266 0.1810 0.0000 [8 per cell]
Y1 0.0000 0.5000 0.5000 [2 per cell]
Y2 0.1025 0.2664 0.5000 [8 per cell]
Y3 0.1418 0.0730 0.5000 [8 per cell]
Er1 0.1550 0.3990 0.5000 [8 per cell]

Results
Its density of states at the Fermi level is 31.85 states/eV/f.u. The calculation puts the formation energy at 0.045 eV/atom.